(1)
# ReBiHIr2, relaxed, DFT PBE-GGA
# Calculated volume (Å³/cell): 120.84
# Total magnetization (μB/cell): 1.02
# Calculated density (g cm⁻³): 10.7
# Total DFT energy (no corrections) (eV/atom): -5.612
data_ReBiHIr2
_chemical_formula_sum 'Re1 Bi1 H1 Ir2'
_cell_length_a 4.781
_cell_length_b 4.781
_cell_length_c 5.287
_cell_angle_alpha 90.00
_cell_angle_beta 90.00
_cell_angle_gamma 90.00
_symmetry_space_group_name_H-M 'P 4/m m m'
_symmetry_Int_Tables_number 123
_symmetry_space_group_name_Hall '-P 4 2'
loop_
_atom_site_label
_atom_site_type_symbol
_atom_site_fract_x
_atom_site_fract_y
_atom_site_fract_z
Re1 Re 0.000 0.000 0.000
Bi1 Bi 0.000 0.000 0.500
H1 H 0.500 0.500 0.500
Ir1 Ir 0.000 0.500 0.000

---

(2)
# Bi2H6IrRh, relaxed, DFT PBE-GGA
# Calculated volume (Å³/cell): 260.94
# Total magnetization (μB/cell): 0.00
# Calculated density (g cm⁻³): 9.2
# Total DFT energy (no corrections) (eV/atom): -4.361
data_Bi2H6IrRh
_chemical_formula_sum 'Bi4 H12 Ir2 Rh2'
_cell_length_a 6.561
_cell_length_b 6.576
_cell_length_c 6.354
_cell_angle_alpha 90.00
_cell_angle_beta 107.87
_cell_angle_gamma 90.00
_symmetry_space_group_name_H-M 'C 1 m 1'
_symmetry_Int_Tables_number 8
loop_
_symmetry_equiv_pos_as_xyz
'x,y,z'
'x,-y,z'
'x+1/2,y+1/2,z'
'x+1/2,-y+1/2,z'
loop_
_atom_site_label
_atom_site_type_symbol
_atom_site_fract_x
_atom_site_fract_y
_atom_site_fract_z
Bi1 Bi 0.000 0.249 0.000
H1 H 0.120 0.500 0.426
H2 H 0.130 0.000 0.428
H3 H 0.375 0.245 0.425
H4 H 0.420 0.500 0.579
H5 H 0.425 0.000 0.592
Ir1 Ir 0.345 0.000 0.326
Rh1 Rh 0.342 0.500 0.313

---

(3)
# Th3BiHIr, relaxed, DFT PBE-GGA
# Calculated volume (Å³/cell): 324.53
# Total magnetization (μB/cell): 0.00
# Calculated density (g cm⁻³): 11.2
# Total DFT energy (no corrections) (eV/atom): -6.993
data_Th3BiHIr
_chemical_formula_sum 'Th6 Bi2 H2 Ir2'
_cell_length_a 8.196
_cell_length_b 4.444
_cell_length_c 9.027
_cell_angle_alpha 90.00
_cell_angle_beta 99.19
_cell_angle_gamma 90.00
_symmetry_space_group_name_H-M 'P 1 21/m 1'
_symmetry_Int_Tables_number 11
loop_
_symmetry_equiv_pos_as_xyz
'x,y,z'
'-x,-y,-z'
'-x,y+1/2,-z'
'x,-y+1/2,z'
loop_
_atom_site_label
_atom_site_type_symbol
_atom_site_fract_x
_atom_site_fract_y
_atom_site_fract_z
Th1 Th 0.039 0.250 0.333
Th2 Th 0.328 0.250 0.936
Th3 Th 0.405 0.750 0.612
Bi1 Bi 0.301 0.750 0.209
H1 H 0.423 0.750 0.883
Ir1 Ir 0.188 0.250 0.631

---

(4)
# Ti2BiHIr, relaxed, DFT PBE-GGA
# Calculated volume (Å³/cell): 93.77
# Total magnetization (μB/cell): 0.00
# Calculated density (g cm⁻³): 8.8
# Total DFT energy (no corrections) (eV/atom): -5.349
data_Ti2BiHIr
_chemical_formula_sum 'Ti2 Bi1 H1 Ir1'
_cell_length_a 5.194
_cell_length_b 5.194
_cell_length_c 3.477
_cell_angle_alpha 90.00
_cell_angle_beta 90.00
_cell_angle_gamma 90.00
_symmetry_space_group_name_H-M 'P 4/m m m'
_symmetry_Int_Tables_number 123
_symmetry_space_group_name_Hall '-P 4 2'
loop_
_atom_site_label
_atom_site_type_symbol
_atom_site_fract_x
_atom_site_fract_y
_atom_site_fract_z
Ti1 Ti 0.000 0.500 0.000
Bi1 Bi 0.000 0.000 0.000
H1 H 0.000 0.000 0.500
Ir1 Ir 0.500 0.500 0.500

---

(5)
# TlBiH6Ir, relaxed, DFT PBE-GGA
# Calculated volume (Å³/cell): 120.75
# Total magnetization (μB/cell): 0.00
# Calculated density (g cm⁻³): 8.4
# Total DFT energy (no corrections) (eV/atom): -3.825
data_TlBiH6Ir
_chemical_formula_sum 'Tl1 Bi1 H6 Ir1'
_cell_length_a 4.384
_cell_length_b 4.561
_cell_length_c 6.424
_cell_angle_alpha 89.48
_cell_angle_beta 70.09
_cell_angle_gamma 88.55
_symmetry_space_group_name_H-M 'P 1'
_symmetry_Int_Tables_number 1
loop_
_symmetry_equiv_pos_as_xyz
'x,y,z'
loop_
_atom_site_label
_atom_site_type_symbol
_atom_site_fract_x
_atom_site_fract_y
_atom_site_fract_z
Tl1 Tl 0.000 0.000 0.000
Bi1 Bi 0.650 0.500 0.697
H1 H 0.069 0.749 0.336
H2 H 0.117 0.204 0.539
H3 H 0.210 0.335 0.205
H4 H 0.342 0.797 0.539
H5 H 0.581 0.667 0.205
H6 H 0.593 0.253 0.335
Ir1 Ir 0.297 0.501 0.404

---

(6)
# ZnBiH6Ir2, relaxed, DFT PBE-GGA
# Calculated volume (Å³/cell): 483.47
# Total magnetization (μB/cell): 0.00
# Calculated density (g cm⁻³): 9.1
# Total DFT energy (no corrections) (eV/atom): -4.259
data_ZnBiH6Ir2
_chemical_formula_sum 'Zn4 Bi4 H24 Ir8'
_cell_length_a 8.094
_cell_length_b 12.464
_cell_length_c 5.529
_cell_angle_alpha 90.00
_cell_angle_beta 119.92
_cell_angle_gamma 90.00
_symmetry_space_group_name_H-M 'C 1 2/c 1'
_symmetry_Int_Tables_number 15
loop_
_symmetry_equiv_pos_as_xyz
'x,y,z'
'-x,-y,-z'
'-x,y,-z+1/2'
'x,-y,z+1/2'
'x+1/2,y+1/2,z'
'-x+1/2,-y+1/2,-z'
'-x+1/2,y+1/2,-z+1/2'
'x+1/2,-y+1/2,z+1/2'
loop_
_atom_site_label
_atom_site_type_symbol
_atom_site_fract_x
_atom_site_fract_y
_atom_site_fract_z
Zn1 Zn 0.000 0.024 0.250
Bi1 Bi 0.000 0.353 0.250
H1 H 0.136 0.134 0.147
H2 H 0.139 0.328 0.806
H3 H 0.248 0.421 0.132
Ir1 Ir 0.195 0.451 0.798

---

(7)
# K6Bi2H, relaxed, DFT PBE-GGA
# Calculated volume (Å³/cell): 682.37
# Total magnetization (μB/cell): 0.00
# Calculated density (g cm⁻³): 3.2
# Total DFT energy (no corrections) (eV/atom): -2.228
data_K6Bi2H
_chemical_formula_sum 'K12 Bi4 H2'
_cell_length_a 7.999
_cell_length_b 7.999
_cell_length_c 10.664
_cell_angle_alpha 90.00
_cell_angle_beta 90.00
_cell_angle_gamma 90.00
_symmetry_space_group_name_H-M 'I 4/m m m'
_symmetry_Int_Tables_number 139
_symmetry_space_group_name_Hall '-I 4 2'
loop_
_atom_site_label
_atom_site_type_symbol
_atom_site_fract_x
_atom_site_fract_y
_atom_site_fract_z
K1 K 0.000 0.000 0.245
K2 K 0.237 0.237 0.000
Bi1 Bi 0.000 0.500 0.250
H1 H 0.000 0.000 0.000

---

(8)
# K2BiH2, relaxed, DFT PBE-GGA
# Calculated volume (Å³/cell): 388.57
# Total magnetization (μB/cell): 0.00
# Calculated density (g cm⁻³): 2.5
# ΔE to the lowest computed polymorph (meV per atom): 0
data_K2BiH2
_chemical_formula_sum 'K4 Bi2 H4'
_cell_length_a 6.133
_cell_length_b 6.138
_cell_length_c 10.321
_cell_angle_alpha 90.00
_cell_angle_beta 90.17
_cell_angle_gamma 90.00
_symmetry_space_group_name_H-M 'C 1 2/m 1'
_symmetry_Int_Tables_number 12
loop_
_symmetry_equiv_pos_as_xyz
'x,y,z'
'-x,-y,-z'
'-x,y,-z'
'x,-y,z'
'x+1/2,y+1/2,z'
'-x+1/2,-y+1/2,-z'
'-x+1/2,y+1/2,-z'
'x+1/2,-y+1/2,z'
loop_
_atom_site_label
_atom_site_type_symbol
_atom_site_fract_x
_atom_site_fract_y
_atom_site_fract_z
K1 K 0.001 0.000 0.184
Bi1 Bi 0.000 0.500 0.000
H1 H 0.000 0.439 0.500

---

(9)
# K2BiH2, relaxed, DFT PBE-GGA
# Calculated volume (Å³/cell): 255.19
# Total magnetization (μB/cell): 0.00
# Calculated density (g cm⁻³): 3.8
# ΔE to the lowest computed polymorph (meV per atom): 571
data_K2BiH2
_chemical_formula_sum 'K4 Bi2 H4'
_cell_length_a 4.631
_cell_length_b 4.631
_cell_length_c 11.900
_cell_angle_alpha 90.00
_cell_angle_beta 90.00
_cell_angle_gamma 90.00
_symmetry_space_group_name_H-M 'I 4/m m m'
_symmetry_Int_Tables_number 139
_symmetry_space_group_name_Hall '-I 4 2'
loop_
_atom_site_label
_atom_site_type_symbol
_atom_site_fract_x
_atom_site_fract_y
_atom_site_fract_z
K1 K 0.000 0.500 0.250
Bi1 Bi 0.000 0.000 0.000
H1 H 0.000 0.000 0.362

---

(10)
# K2BiH2, relaxed, DFT PBE-GGA
# Calculated volume (Å³/cell): 230.81
# Total magnetization (μB/cell): 0.00
# Calculated density (g cm⁻³): 4.2
# ΔE to the lowest computed polymorph (meV per atom): 241
data_K2BiH2
_chemical_formula_sum 'K4 Bi2 H4'
_cell_length_a 7.884
_cell_length_b 7.884
_cell_length_c 3.714
_cell_angle_alpha 90.00
_cell_angle_beta 90.00
_cell_angle_gamma 90.00
_symmetry_space_group_name_H-M 'P 4/m b m'
_symmetry_Int_Tables_number 127
_symmetry_space_group_name_Hall '-P 4 2ab'
loop_
_atom_site_label
_atom_site_type_symbol
_atom_site_fract_x
_atom_site_fract_y
_atom_site_fract_z
K1 K 0.149 0.351 0.000
Bi1 Bi 0.000 0.000 0.500
H1 H 0.167 0.667 0.500

---

(11)
# KBiH3, relaxed, DFT PBE-GGA
# Calculated volume (Å³/cell): 81.29
# Total magnetization (μB/cell): 0.00
# Calculated density (g cm⁻³): 5.1
# ΔE to the lowest computed polymorph (meV per atom): 692
data_KBiH3
_chemical_formula_sum 'K1 Bi1 H3'
_cell_length_a 4.332
_cell_length_b 4.332
_cell_length_c 4.332
_cell_angle_alpha 90.00
_cell_angle_beta 90.00
_cell_angle_gamma 90.00
_symmetry_space_group_name_H-M 'P m -3 m'
_symmetry_Int_Tables_number 221
_symmetry_space_group_name_Hall '-P 4 2 3'
loop_
_atom_site_label
_atom_site_type_symbol
_atom_site_fract_x
_atom_site_fract_y
_atom_site_fract_z
K1 K 0.000 0.000 0.000
Bi1 Bi 0.500 0.500 0.500
H1 H 0.000 0.000 0.500

---

(12)
# K5BiH2, relaxed, DFT PBE-GGA
# Calculated volume (Å³/cell): 549.33
# Total magnetization (μB/cell): 0.00
# Calculated density (g cm⁻³): 2.5
# Total DFT energy (no corrections) (eV/atom): -2.229
data_K5BiH2
_chemical_formula_sum 'K10 Bi2 H4'
_cell_length_a 5.597
_cell_length_b 5.597
_cell_length_c 17.536
_cell_angle_alpha 90.00
_cell_angle_beta 90.00
_cell_angle_gamma 90.00
_symmetry_space_group_name_H-M 'I 4/m m m'
_symmetry_Int_Tables_number 139
_symmetry_space_group_name_Hall '-I 4 2'
loop_
_atom_site_label
_atom_site_type_symbol
_atom_site_fract_x
_atom_site_fract_y
_atom_site_fract_z
K1 K 0.000 0.000 0.000
K2 K 0.000 0.500 0.136
Bi1 Bi 0.000 0.000 0.500
H1 H 0.000 0.000 0.170